{"formula": "Tb4TmHg2", "functional": "PBE-GGA", "state": "optimized geometry", "lattice_angstrom": [[5.1067, 0.0000, 0.0000], [2.5534, 4.4226, 0.0000], [2.5534, 1.4742, 9.9386]], "species": ["Hg", "Hg", "Tb", "Tb", "Tb", "Tb", "Tm"], "fractional_positions": [[0.6006, 0.6006, 0.1983], [0.3994, 0.3994, 0.8017], [0.7047, 0.7047, 0.8859], [0.1100, 0.1100, 0.6700], [0.2953, 0.2953, 0.1141], [0.8900, 0.8900, 0.3300], [0.5000, 0.5000, 0.5000]], "ef_mev_per_atom": 36, "energy_ev_per_cell": -23.346, "spacegroup": "No. 166"}

---

{"formula": "FeCu2Pt", "functional": "PBE-GGA", "state": "optimized geometry", "lattice_angstrom": [[4.5806, 0.0014, -0.0079], [3.7903, 2.5721, -0.0079], [0.7877, 0.2422, 4.4562]], "species": ["Fe", "Cu", "Cu", "Pt"], "fractional_positions": [[0.2500, 0.2500, 0.2500], [0.9984, 0.9984, 0.0088], [0.5016, 0.5016, 0.4912], [0.7500, 0.7500, 0.7500]], "ef_mev_per_atom": -65, "energy_ev_per_cell": -22.957, "spacegroup": "No. 12"}

---

{"formula": "ScTe2F", "functional": "PBE-GGA", "state": "optimized geometry", "lattice_angstrom": [[0.0000, 3.5073, 3.5073], [3.5073, 0.0000, 3.5073], [3.5073, 3.5073, 0.0000]], "species": ["Te", "Te", "F", "Sc"], "fractional_positions": [[0.7500, 0.7500, 0.7500], [0.2500, 0.2500, 0.2500], [0.0000, 0.0000, 0.0000], [0.5000, 0.5000, 0.5000]], "formation_energy_uncorrected_ev_per_atom": -0.99, "energy_ev_per_cell": -18.427, "spacegroup": "No. 225", "de_polymorph_ev_per_atom": 0.126}

---

| no. | spin magnetization (Bohr magnetons per cell) |
| --- | --- |
| 1 | 0.0 |
| 2 | 3.1 |
| 3 | 0.0 |